Entry from the Alexandria database: GdTmThAl after structural relaxation (GGA-PBE).

Summary:
- Size of the total moment: 7.452 μB per formula unit
- E_form: -0.038 eV/atom
- DOS at the Fermi energy: 1.10 states/eV/atom
- Final energy: -7.467 eV per atom

Geometry as POSCAR:
```
GdTmThAl
1.0
5.3750 0.0000 0.0000
2.6875 4.6549 0.0000
2.6875 1.5516 4.3887
Gd Tm Al Th
1 1 1 1
direct
0.0000 0.0000 0.0000 Gd
0.7500 0.7500 0.7500 Tm
0.2500 0.2500 0.2500 Al
0.5000 0.5000 0.5000 Th
```

***

Entry from the Alexandria database: InAgTe2 after structural relaxation (GGA-PBE).

Summary:
- Formation energy without anion corrections: -58 meV per atom
- Size of the total moment: 0.000 μB per formula unit
- DOS at the Fermi energy: 0.33 states/eV/atom
- Final energy: -3.026 eV per atom

Geometry as POSCAR:
```
InAgTe2
1.0
-1.6971 -5.6283 1.2145
-0.0068 -0.6808 -3.1647
5.4462 -1.5717 0.3267
Te Ag In
2 1 1
direct
0.0000 0.9886 0.8754 Te
0.5000 0.4272 0.3744 Te
0.0000 0.2498 0.3759 Ag
0.5000 0.8344 0.8742 In
```

***

Entry from the Alexandria database: Rb2TiGa2 after structural relaxation (GGA-PBE).

Summary:
- Size of the total moment: 2.844 μB per formula unit
- E_form: 0.424 eV/atom
- DOS at the Fermi energy: 1.21 states/eV/atom
- Final energy: -2.753 eV per atom

Geometry as POSCAR:
```
Rb2TiGa2
1.0
7.1797 0.0000 0.0000
0.0000 7.1797 0.0000
0.0000 0.0000 6.2587
Ga Rb Ti
4 4 2
direct
0.3674 0.8674 0.0000 Ga
0.8674 0.6326 0.0000 Ga
0.6326 0.1326 0.0000 Ga
0.1326 0.3674 0.0000 Ga
0.1818 0.6818 0.5000 Rb
0.6818 0.8182 0.5000 Rb
0.8182 0.3182 0.5000 Rb
0.3182 0.1818 0.5000 Rb
0.0000 0.0000 0.0000 Ti
0.5000 0.5000 0.0000 Ti
```